1.
The following is a PBE-GGA calculation of an optimized crystal structure of Sm4DyEr5, from Alexandria.

a = 10.617 Å, b = 10.617 Å, c = 5.890 Å
α = 90.00°, β = 90.00°, γ = 90.00°
Space group I4mm (No. 107)
Symmetry-distinct sites (fractional):
1 Sm 0.000 0.323 0.000 x8
2 Dy 0.000 0.000 0.240 x2
3 Er 0.000 0.000 0.764 x2
4 Er 0.189 0.189 0.503 x8

Values from the calculation:
- Distance to the lowest polymorph of the same formula: 0.58 eV/f.u.
- Energy: -87.59 eV/cell
- Crystal system: tetragonal

=====

2.
The following is a PBE-GGA calculation of an optimized crystal structure of Sm7DyEr4, from Alexandria.

a = 6.256 Å, b = 7.215 Å, c = 8.893 Å
α = 89.99°, β = 76.45°, γ = 89.97°
Space group P-1 (No. 2)
Symmetry-distinct sites (fractional):
1 Sm 0.000 0.000 0.000 x1
2 Sm 0.222 0.500 0.335 x2
3 Sm 0.280 0.751 0.665 x2
4 Sm 0.499 0.248 0.999 x2
5 Dy 0.000 0.500 0.000 x1
6 Er 0.220 0.000 0.335 x2
7 Er 0.278 0.248 0.667 x2

Values from the calculation:
- Energy: -55.87 eV/cell
- Crystal system: triclinic

=====

3.
The following is a PBE-GGA calculation of an optimized crystal structure of SmDy12Er7, from Alexandria.

a = 11.252 Å, b = 11.252 Å, c = 11.252 Å
α = 90.00°, β = 90.00°, γ = 90.00°
Space group Im-3m (No. 229)
Symmetry-distinct sites (fractional):
1 Sm 0.000 0.000 0.000 x2
2 Dy 0.000 0.254 0.254 x24
3 Er 0.000 0.000 0.500 x6
4 Er 0.250 0.250 0.250 x8

Values from the calculation:
- Distance to the lowest polymorph of the same formula: 8.32 eV/f.u.
- Energy: -154.97 eV/cell
- Crystal system: cubic

=====

4.
The following is a PBE-GGA calculation of an optimized crystal structure of Sm4DyEr2, from Alexandria.

a = 6.200 Å, b = 6.582 Å, c = 11.562 Å
α = 90.00°, β = 105.05°, γ = 90.00°
Space group P2_1/m (No. 11)
Symmetry-distinct sites (fractional):
1 Sm 0.037 0.250 0.363 x2
2 Sm 0.149 0.250 0.949 x2
3 Sm 0.351 0.508 0.214 x4
4 Dy 0.154 0.250 0.663 x2
5 Er 0.290 0.750 0.925 x2
6 Er 0.392 0.750 0.504 x2

Values from the calculation:
- Distance to the lowest polymorph of the same formula: 0.53 eV/f.u.
- Energy: -63.39 eV/cell
- Crystal system: monoclinic

=====

5.
The following is a PBE-GGA calculation of an optimized crystal structure of Sm11Dy4Er9, from Alexandria.

a = 16.811 Å, b = 25.437 Å, c = 3.642 Å
α = 90.00°, β = 90.00°, γ = 90.00°
Space group Cmmm (No. 65)
Symmetry-distinct sites (fractional):
1 Sm 0.000 0.000 0.000 x2
2 Sm 0.000 0.160 0.000 x4
3 Sm 0.000 0.368 0.000 x4
4 Sm 0.208 0.500 0.000 x4
5 Sm 0.225 0.181 0.000 x8
6 Dy 0.156 0.399 0.500 x8
7 Er 0.000 0.500 0.500 x2
8 Er 0.102 0.267 0.500 x8
9 Er 0.141 0.073 0.500 x8

Values from the calculation:
- Energy: -220.11 eV/cell
- Crystal system: orthorhombic

=====

6.
The following is a PBE-GGA calculation of an optimized crystal structure of Sm6Dy2Er, from Alexandria.

a = 9.342 Å, b = 17.568 Å, c = 3.639 Å
α = 90.00°, β = 90.00°, γ = 90.00°
Space group Cmmm (No. 65)
Symmetry-distinct sites (fractional):
1 Sm 0.177 0.165 0.000 x8
2 Sm 0.185 0.000 0.500 x4
3 Dy 0.000 0.322 0.500 x4
4 Er 0.000 0.500 0.000 x2

Values from the calculation:
- Distance to the lowest polymorph of the same formula: 0.00 eV/f.u.
- Energy: -81.77 eV/cell
- Crystal system: orthorhombic

=====

7.
The following is a PBE-GGA calculation of an optimized crystal structure of Sm3Dy8Er3, from Alexandria.

a = 5.623 Å, b = 10.762 Å, c = 14.931 Å
α = 90.00°, β = 90.00°, γ = 90.00°
Space group Immm (No. 71)
Symmetry-distinct sites (fractional):
1 Sm 0.000 0.000 0.000 x2
2 Sm 0.000 0.500 0.318 x4
3 Dy 0.000 0.160 0.279 x8
4 Dy 0.000 0.341 0.103 x8
5 Er 0.000 0.000 0.500 x2
6 Er 0.000 0.296 0.500 x4

Values from the calculation:
- Energy: -126.26 eV/cell
- Crystal system: orthorhombic

=====

8.
The following is a PBE-GGA calculation of an optimized crystal structure of Sm12Dy7Er, from Alexandria.

a = 19.5665 Å, b = 19.5665 Å, c = 6.1694 Å
α = 90.00°, β = 90.00°, γ = 120.00°
Space group R-3m (No. 166, hexagonal axes)
Symmetry-distinct sites (fractional):
1 Sm 0.0000 0.4132 0.0000 x18
2 Sm 0.0975 0.5487 0.4613 x18
3 Dy 0.0000 0.0000 0.0000 x3
4 Dy 0.0816 0.1632 0.2925 x18
5 Er 0.0000 0.0000 0.5000 x3

Values from the calculation:
- Distance to the lowest polymorph of the same formula: 0.00 eV/f.u.
- Energy: -265.32 eV/cell
- Crystal system: trigonal

=====

9.
The following is a PBE-GGA calculation of an optimized crystal structure of Sm6Dy8Er, from Alexandria.

a = 9.4389 Å, b = 9.4389 Å, c = 6.5530 Å
α = 90.00°, β = 90.00°, γ = 120.00°
Space group P-3 (No. 147)
Symmetry-distinct sites (fractional):
1 Sm 0.0856 0.6783 0.0981 x6
2 Dy 0.0193 0.3270 0.3944 x6
3 Dy 0.3333 0.6667 0.6556 x2
4 Er 0.0000 0.0000 0.0000 x1

Values from the calculation:
- Distance to the lowest polymorph of the same formula: 1.69 eV/f.u.
- Energy: -66.19 eV/cell
- Crystal system: trigonal

=====

10.
The following is a PBE-GGA calculation of an optimized crystal structure of Sm2Dy7Er3, from Alexandria.

a = 6.137 Å, b = 5.450 Å, c = 12.138 Å
α = 90.00°, β = 91.05°, γ = 90.00°
Space group P2/m (No. 10)
Symmetry-distinct sites (fractional):
1 Sm 0.097 0.000 0.279 x2
2 Dy 0.061 0.500 0.823 x2
3 Dy 0.264 0.000 0.545 x2
4 Dy 0.418 0.000 0.831 x2
5 Dy 0.500 0.500 0.000 x1
6 Er 0.000 0.000 0.000 x1
7 Er 0.446 0.500 0.343 x2

Values from the calculation:
- Distance to the lowest polymorph of the same formula: 2.76 eV/f.u.
- Energy: -51.54 eV/cell
- Crystal system: monoclinic

=====

11.
The following is a PBE-GGA calculation of an optimized crystal structure of Sm5Dy2Er3, from Alexandria.

a = 9.360 Å, b = 13.581 Å, c = 10.892 Å
α = 90.00°, β = 90.00°, γ = 90.00°
Space group Ibam (No. 72)
Symmetry-distinct sites (fractional):
1 Sm 0.000 0.000 0.250 x4
2 Sm 0.000 0.252 0.250 x8
3 Sm 0.101 0.127 0.000 x8
4 Dy 0.090 0.379 0.500 x8
5 Er 0.000 0.500 0.250 x4
6 Er 0.249 0.124 0.500 x8

Values from the calculation:
- Distance to the lowest polymorph of the same formula: 1.97 eV/f.u.
- Energy: -170.32 eV/cell
- Crystal system: orthorhombic

=====

12.
The following is a PBE-GGA calculation of an optimized crystal structure of SmDy6Er3, from Alexandria.

a = 9.593 Å, b = 20.870 Å, c = 6.352 Å
α = 90.00°, β = 90.00°, γ = 90.00°
Space group Cmc2_1 (No. 36)
Symmetry-distinct sites (fractional):
1 Sm 0.000 0.162 0.000 x4
2 Dy 0.000 0.015 0.197 x4
3 Dy 0.000 0.301 0.222 x4
4 Dy 0.176 0.281 0.681 x8
5 Dy 0.180 0.441 0.438 x8
6 Er 0.000 0.419 0.914 x4
7 Er 0.169 0.126 0.524 x8

Values from the calculation:
- Distance to the lowest polymorph of the same formula: 0.00 eV/f.u.
- Energy: -179.08 eV/cell
- Crystal system: orthorhombic

=====

13.
The following is a PBE-GGA calculation of an optimized crystal structure of Sm12Dy3Er, from Alexandria.

a = 5.097 Å, b = 5.097 Å, c = 20.358 Å
α = 90.00°, β = 90.00°, γ = 90.00°
Space group P4/mmm (No. 123)
Symmetry-distinct sites (fractional):
1 Sm 0.000 0.000 0.000 x1
2 Sm 0.000 0.000 0.250 x2
3 Sm 0.000 0.000 0.500 x1
4 Sm 0.000 0.500 0.125 x4
5 Sm 0.000 0.500 0.375 x4
6 Dy 0.500 0.500 0.000 x1
7 Dy 0.500 0.500 0.250 x2
8 Er 0.500 0.500 0.500 x1

Values from the calculation:
- Energy: -74.74 eV/cell
- Crystal system: tetragonal

=====

14.
The following is a PBE-GGA calculation of an optimized crystal structure of Sm6Dy2Er, from Alexandria.

a = 13.207 Å, b = 7.626 Å, c = 6.046 Å
α = 90.00°, β = 90.01°, γ = 90.00°
Space group C2/m (No. 12)
Symmetry-distinct sites (fractional):
1 Sm 0.095 0.217 0.287 x8
2 Sm 0.188 0.500 0.714 x4
3 Dy 0.166 0.000 0.783 x4
4 Er 0.000 0.500 0.000 x2

Values from the calculation:
- Distance to the lowest polymorph of the same formula: 0.79 eV/f.u.
- Energy: -80.20 eV/cell
- Crystal system: monoclinic

=====

15.
The following is a PBE-GGA calculation of an optimized crystal structure of Sm2Dy2Er7, from Alexandria.

a = 11.125 Å, b = 11.470 Å, c = 6.036 Å
α = 90.00°, β = 113.81°, γ = 90.00°
Space group C2/m (No. 12)
Symmetry-distinct sites (fractional):
1 Sm 0.092 0.000 0.306 x4
2 Dy 0.000 0.287 0.000 x4
3 Er 0.000 0.500 0.500 x2
4 Er 0.174 0.262 0.678 x8
5 Er 0.230 0.500 0.079 x4

Values from the calculation:
- Distance to the lowest polymorph of the same formula: 0.00 eV/f.u.
- Energy: -97.71 eV/cell
- Crystal system: monoclinic

=====

16.
The following is a PBE-GGA calculation of an optimized crystal structure of Sm3Dy8Er4, from Alexandria.

a = 13.350 Å, b = 12.750 Å, c = 6.722 Å
α = 90.00°, β = 120.14°, γ = 90.00°
Space group C2/m (No. 12)
Symmetry-distinct sites (fractional):
1 Sm 0.000 0.000 0.000 x2
2 Sm 0.250 0.250 0.000 x4
3 Dy 0.000 0.142 0.500 x4
4 Dy 0.000 0.248 0.000 x4
5 Dy 0.230 0.000 0.952 x4
6 Dy 0.241 0.000 0.485 x4
7 Er 0.000 0.500 0.000 x2
8 Er 0.000 0.500 0.500 x2
9 Er 0.250 0.250 0.500 x4

Values from the calculation:
- Energy: -126.45 eV/cell
- Crystal system: monoclinic

=====

17.
The following is a PBE-GGA calculation of an optimized crystal structure of Sm5Dy2Er5, from Alexandria.

a = 15.098 Å, b = 5.031 Å, c = 11.279 Å
α = 90.00°, β = 116.54°, γ = 90.00°
Space group C2/m (No. 12)
Symmetry-distinct sites (fractional):
1 Sm 0.000 0.000 0.000 x2
2 Sm 0.084 0.000 0.751 x4
3 Sm 0.166 0.000 0.499 x4
4 Dy 0.083 0.500 0.249 x4
5 Er 0.000 0.500 0.500 x2
6 Er 0.168 0.500 0.001 x4
7 Er 0.249 0.000 0.248 x4

Values from the calculation:
- Energy: -110.77 eV/cell
- Crystal system: monoclinic

=====

18.
The following is a PBE-GGA calculation of an optimized crystal structure of SmDy3Er4, from Alexandria.

a = 11.204 Å, b = 7.236 Å, c = 6.253 Å
α = 90.00°, β = 90.00°, γ = 90.00°
Space group Pmn2_1 (No. 31)
Symmetry-distinct sites (fractional):
1 Sm 0.000 0.126 0.000 x2
2 Dy 0.000 0.874 0.499 x2
3 Dy 0.250 0.127 0.333 x4
4 Er 0.000 0.376 0.501 x2
5 Er 0.000 0.623 0.000 x2
6 Er 0.249 0.623 0.333 x4

Values from the calculation:
- Distance to the lowest polymorph of the same formula: 0.00 eV/f.u.
- Energy: -73.45 eV/cell
- Crystal system: orthorhombic

=====

| no. | calculated formation energy (eV per formula unit) | volume (Å³/atom) |
| --- | --- | --- |
| 1 | 2.500 | 33.20 |
| 2 | 0.019 | 32.52 |
| 3 | 14.401 | 35.61 |
| 4 | 0.910 | 32.55 |
| 5 | 1.330 | 32.45 |
| 6 | 1.195 | 33.18 |
| 7 | 1.532 | 32.27 |
| 8 | 4.966 | 34.09 |
| 9 | 3.502 | 33.71 |
| 10 | 3.805 | 33.83 |
| 11 | 3.908 | 34.62 |
| 12 | 1.250 | 31.79 |
| 13 | 0.261 | 33.06 |
| 14 | 1.981 | 33.83 |
| 15 | 1.726 | 32.03 |
| 16 | 6.001 | 32.98 |
| 17 | 0.229 | 31.94 |
| 18 | 0.054 | 31.68 |